1.
# PBE LiPd2Pb, relaxed
# * total energy: -4.35 eV/atom
data_LiPd2Pb
_chemical_formula_sum 'Li4 Pd8 Pb4'
_cell_length_a 6.485
_cell_length_b 6.485
_cell_length_c 6.485
_cell_angle_alpha 90.00
_cell_angle_beta 90.00
_cell_angle_gamma 90.00
_symmetry_space_group_name_H-M 'F -4 3 m'
_symmetry_Int_Tables_number 216
_symmetry_space_group_name_Hall 'F -4 2 3'
loop_
_atom_site_label
_atom_site_type_symbol
_atom_site_fract_x
_atom_site_fract_y
_atom_site_fract_z
Li1 Li 0.000 0.000 0.000
Pd1 Pd 0.000 0.000 0.500
Pd2 Pd 0.250 0.250 0.250
Pb1 Pb 0.250 0.250 0.750



2.
# PBE TlReO4, relaxed
# * energy above the most stable polymorph in this dataset: 0.000 eV/atom
data_TlReO4
_chemical_formula_sum 'Tl4 Re4 O16'
_cell_length_a 5.708
_cell_length_b 5.708
_cell_length_c 13.000
_cell_angle_alpha 90.00
_cell_angle_beta 90.00
_cell_angle_gamma 90.00
_symmetry_space_group_name_H-M 'I 41/a'
_symmetry_Int_Tables_number 88
loop_
_symmetry_equiv_pos_as_xyz
'x,y,z'
'-x,-y,-z'
'-y+3/4,x+1/4,z+1/4'
'y+3/4,-x+1/4,-z+1/4'
'-x+1/2,-y,z+1/2'
'x+1/2,y,-z+1/2'
'y+3/4,-x+3/4,z+3/4'
'-y+3/4,x+3/4,-z+3/4'
'x+1/2,y+1/2,z+1/2'
'-x+1/2,-y+1/2,-z+1/2'
'-y+1/4,x+3/4,z+3/4'
'y+1/4,-x+3/4,-z+3/4'
'-x,-y+1/2,z'
'x,y+1/2,-z'
'y+1/4,-x+1/4,z+1/4'
'-y+1/4,x+1/4,-z+1/4'
loop_
_atom_site_label
_atom_site_type_symbol
_atom_site_fract_x
_atom_site_fract_y
_atom_site_fract_z
Tl1 Tl 0.000 0.250 0.125
Re1 Re 0.000 0.250 0.625
O1 O 0.113 0.023 0.702



3.
# PBE Pr4FeS7, relaxed
# * total energy: -6.34 eV/atom
data_Pr4FeS7
_chemical_formula_sum 'Pr8 Fe2 S14'
_cell_length_a 9.770
_cell_length_b 6.899
_cell_length_c 9.900
_cell_angle_alpha 90.00
_cell_angle_beta 119.19
_cell_angle_gamma 90.00
_symmetry_space_group_name_H-M 'P 1 21 1'
_symmetry_Int_Tables_number 4
loop_
_symmetry_equiv_pos_as_xyz
'x,y,z'
'-x,y+1/2,-z'
loop_
_atom_site_label
_atom_site_type_symbol
_atom_site_fract_x
_atom_site_fract_y
_atom_site_fract_z
Pr1 Pr 0.126 0.000 0.300
Pr2 Pr 0.126 0.024 0.857
Pr3 Pr 0.288 0.457 0.666
Pr4 Pr 0.350 0.487 0.122
Fe1 Fe 0.490 0.698 0.485
S1 S 0.015 0.220 0.582
S2 S 0.042 0.303 0.000
S3 S 0.176 0.649 0.828
S4 S 0.274 0.386 0.376
S5 S 0.372 0.882 0.600
S6 S 0.385 0.879 0.252
S7 S 0.408 0.208 0.941



4.
# PBE LiYCuBi, relaxed
# * energy above the most stable polymorph in this dataset: 0.161 eV/atom
data_LiYCuBi
_chemical_formula_sum 'Li4 Y4 Cu4 Bi4'
_cell_length_a 7.038
_cell_length_b 7.038
_cell_length_c 7.038
_cell_angle_alpha 90.00
_cell_angle_beta 90.00
_cell_angle_gamma 90.00
_symmetry_space_group_name_H-M 'F -4 3 m'
_symmetry_Int_Tables_number 216
_symmetry_space_group_name_Hall 'F -4 2 3'
loop_
_atom_site_label
_atom_site_type_symbol
_atom_site_fract_x
_atom_site_fract_y
_atom_site_fract_z
Li1 Li 0.000 0.000 0.000
Y1 Y 0.250 0.250 0.250
Cu1 Cu 0.250 0.250 0.750
Bi1 Bi 0.000 0.000 0.500



5.
# PBE GaAg15, relaxed
# * energy above the most stable polymorph in this dataset: 0.022 eV/atom
data_GaAg15
_chemical_formula_sum 'Ga2 Ag30'
_cell_length_a 5.093
_cell_length_b 37.163
_cell_length_c 5.101
_cell_angle_alpha 90.00
_cell_angle_beta 110.16
_cell_angle_gamma 90.00
_symmetry_space_group_name_H-M 'P 1 2/c 1'
_symmetry_Int_Tables_number 13
loop_
_symmetry_equiv_pos_as_xyz
'x,y,z'
'-x,-y,-z'
'-x,y,-z+1/2'
'x,-y,z+1/2'
loop_
_atom_site_label
_atom_site_type_symbol
_atom_site_fract_x
_atom_site_fract_y
_atom_site_fract_z
Ga1 Ga 0.000 0.210 0.250
Ag1 Ag 0.000 0.241 0.750
Ag2 Ag 0.000 0.284 0.250
Ag3 Ag 0.000 0.322 0.750
Ag4 Ag 0.000 0.362 0.250
Ag5 Ag 0.000 0.401 0.750
Ag6 Ag 0.000 0.441 0.250
Ag7 Ag 0.000 0.480 0.750
Ag8 Ag 0.500 0.205 0.750
Ag9 Ag 0.500 0.240 0.250
Ag10 Ag 0.500 0.283 0.750
Ag11 Ag 0.500 0.322 0.250
Ag12 Ag 0.500 0.362 0.750
Ag13 Ag 0.500 0.401 0.250
Ag14 Ag 0.500 0.441 0.750
Ag15 Ag 0.500 0.480 0.250



6.
# PBE BaHgAu2, relaxed
# * total energy: -2.60 eV/atom
data_BaHgAu2
_chemical_formula_sum 'Ba4 Hg4 Au8'
_cell_length_a 7.506
_cell_length_b 7.506
_cell_length_c 7.506
_cell_angle_alpha 90.00
_cell_angle_beta 90.00
_cell_angle_gamma 90.00
_symmetry_space_group_name_H-M 'F -4 3 m'
_symmetry_Int_Tables_number 216
_symmetry_space_group_name_Hall 'F -4 2 3'
loop_
_atom_site_label
_atom_site_type_symbol
_atom_site_fract_x
_atom_site_fract_y
_atom_site_fract_z
Ba1 Ba 0.000 0.000 0.000
Hg1 Hg 0.250 0.250 0.750
Au1 Au 0.000 0.000 0.500
Au2 Au 0.250 0.250 0.250



7.
# PBE BaMgCdGa2, relaxed
# * total energy: -2.45 eV/atom
data_BaMgCdGa2
_chemical_formula_sum 'Ba2 Mg2 Cd2 Ga4'
_cell_length_a 4.687
_cell_length_b 4.687
_cell_length_c 11.544
_cell_angle_alpha 90.00
_cell_angle_beta 90.00
_cell_angle_gamma 90.00
_symmetry_space_group_name_H-M 'I -4 m 2'
_symmetry_Int_Tables_number 119
_symmetry_space_group_name_Hall 'I -4 -2'
loop_
_atom_site_label
_atom_site_type_symbol
_atom_site_fract_x
_atom_site_fract_y
_atom_site_fract_z
Ba1 Ba 0.000 0.000 0.000
Mg1 Mg 0.000 0.500 0.250
Cd1 Cd 0.000 0.500 0.750
Ga1 Ga 0.000 0.000 0.388



8.
# PBE CsRe3Si5, relaxed
# * total energy: -7.01 eV/atom
data_CsRe3Si5
_chemical_formula_sum 'Cs1 Re3 Si5'
_cell_length_a 5.2150
_cell_length_b 5.2150
_cell_length_c 9.2245
_cell_angle_alpha 90.00
_cell_angle_beta 90.00
_cell_angle_gamma 120.00
_symmetry_space_group_name_H-M 'P 6/m m m'
_symmetry_Int_Tables_number 191
_symmetry_space_group_name_Hall '-P 6 2'
loop_
_atom_site_label
_atom_site_type_symbol
_atom_site_fract_x
_atom_site_fract_y
_atom_site_fract_z
Cs1 Cs 0.0000 0.0000 0.0000
Re1 Re 0.0000 0.5000 0.5000
Si1 Si 0.0000 0.0000 0.5000
Si2 Si 0.3333 0.6667 0.2722



9.
# PBE RbLaSmS3, relaxed
# * total energy: -5.43 eV/atom
data_RbLaSmS3
_chemical_formula_sum 'Rb4 La4 Sm4 S12'
_cell_length_a 4.863
_cell_length_b 15.431
_cell_length_c 10.506
_cell_angle_alpha 90.00
_cell_angle_beta 90.00
_cell_angle_gamma 90.00
_symmetry_space_group_name_H-M 'C m c m'
_symmetry_Int_Tables_number 63
_symmetry_space_group_name_Hall '-C 2c 2'
loop_
_atom_site_label
_atom_site_type_symbol
_atom_site_fract_x
_atom_site_fract_y
_atom_site_fract_z
Rb1 Rb 0.000 0.243 0.250
La1 La 0.000 0.011 0.750
Sm1 Sm 0.000 0.500 0.000
S1 S 0.000 0.110 0.528
S2 S 0.000 0.429 0.750



10.
# PBE DyErFe2, relaxed
# * energy of formation: -3.5 kJ/mol of atoms
data_DyErFe2
_chemical_formula_sum 'Dy2 Er2 Fe4'
_cell_length_a 3.802
_cell_length_b 5.430
_cell_length_c 7.743
_cell_angle_alpha 90.00
_cell_angle_beta 90.00
_cell_angle_gamma 90.00
_symmetry_space_group_name_H-M 'P m c 21'
_symmetry_Int_Tables_number 26
loop_
_symmetry_equiv_pos_as_xyz
'x,y,z'
'-x,-y,z+1/2'
'-x,y,z'
'x,-y,z+1/2'
loop_
_atom_site_label
_atom_site_type_symbol
_atom_site_fract_x
_atom_site_fract_y
_atom_site_fract_z
Dy1 Dy 0.000 0.148 0.000
Er1 Er 0.500 0.352 0.646
Fe1 Fe 0.000 0.330 0.350
Fe2 Fe 0.500 0.177 0.298



11.
# PBE FeAs3, relaxed
# * energy above the most stable polymorph in this dataset: 0.000 eV/atom
data_FeAs3
_chemical_formula_sum 'Fe2 As6'
_cell_length_a 7.6298
_cell_length_b 7.6298
_cell_length_c 2.9185
_cell_angle_alpha 90.00
_cell_angle_beta 90.00
_cell_angle_gamma 120.00
_symmetry_space_group_name_H-M 'P 63/m m c'
_symmetry_Int_Tables_number 194
_symmetry_space_group_name_Hall '-P 6c 2c'
loop_
_atom_site_label
_atom_site_type_symbol
_atom_site_fract_x
_atom_site_fract_y
_atom_site_fract_z
Fe1 Fe 0.3333 0.6667 0.2500
As1 As 0.1907 0.3815 0.7500



12.
# PBE HoAlGe, relaxed
# * total energy: -4.90 eV/atom
data_HoAlGe
_chemical_formula_sum 'Ho4 Al4 Ge4'
_cell_length_a 6.935
_cell_length_b 4.093
_cell_length_c 8.526
_cell_angle_alpha 90.00
_cell_angle_beta 90.00
_cell_angle_gamma 90.00
_symmetry_space_group_name_H-M 'P n m a'
_symmetry_Int_Tables_number 62
loop_
_symmetry_equiv_pos_as_xyz
'x,y,z'
'-x,-y,-z'
'-x+1/2,-y,z+1/2'
'x+1/2,y,-z+1/2'
'x+1/2,-y+1/2,-z+1/2'
'-x+1/2,y+1/2,z+1/2'
'-x,y+1/2,-z'
'x,-y+1/2,z'
loop_
_atom_site_label
_atom_site_type_symbol
_atom_site_fract_x
_atom_site_fract_y
_atom_site_fract_z
Ho1 Ho 0.018 0.250 0.175
Al1 Al 0.168 0.250 0.575
Ge1 Ge 0.217 0.750 0.384